Here is a relaxed structure of ErIn2Rh2 from Alexandria. Energies are from PBE.

Unit cell a=5.296 b=4.621 c=8.871 alpha=90.00 beta=107.29 gamma=90.00
Space group P2_1/m (No. 11)
Unique sites:
Er  0.191  0.250  0.266
In  0.237  0.250  0.633
In  0.356  0.750  0.031
Rh  0.104  0.250  0.908
Rh  0.310  0.750  0.467

The value obtained for the calculated total energy is -27.51 eV per formula unit. As for the formation energy: -0.553 eV/atom.

Here is a relaxed structure of Er8In2Rh from Alexandria. Energies are from PBE.

Unit cell a=17.287 b=5.387 c=6.938 alpha=90.00 beta=112.53 gamma=90.00
Space group C2/m (No. 12)
Unique sites:
Er  0.010  0.000  0.269
Er  0.103  0.500  0.910
Er  0.142  0.500  0.417
Er  0.194  0.000  0.747
In  0.182  0.000  0.192
Rh  0.000  0.500  0.500

The value obtained for the calculated total energy is -52.96 eV per formula unit. As for the formation energy: -0.330 eV/atom.

Here is a relaxed structure of ErIn2Rh3 from Alexandria. Energies are from PBE.

Unit cell a=4.6538 b=4.6538 c=5.6537 alpha=90.00 beta=90.00 gamma=120.00
Space group P-3m1 (No. 164)
Unique sites:
Er  0.0000  0.0000  0.0000
In  0.3333  0.6667  0.6727
Rh  0.0000  0.0000  0.5000
Rh  0.3333  0.6667  0.1810

The value obtained for the calculated total energy is -36.12 eV per formula unit. As for the formation energy: -0.670 eV/atom.

Here is a relaxed structure of ErInRh2 from Alexandria. Energies are from PBE.

Unit cell a=4.513 b=4.513 c=3.521 alpha=90.00 beta=90.00 gamma=90.00
Space group P4/mmm (No. 123)
Unique sites:
Er  0.000  0.000  0.000
In  0.500  0.500  0.000
Rh  0.000  0.500  0.500

The value obtained for the calculated total energy is -25.22 eV per formula unit. As for the formation energy: -0.803 eV/atom.

Here is a relaxed structure of Er2InRh3 from Alexandria. Energies are from PBE.

Unit cell a=4.607 b=5.434 c=9.687 alpha=90.00 beta=90.00 gamma=90.00
Space group Immm (No. 71)
Unique sites:
Er  0.000  0.000  0.178
In  0.000  0.000  0.500
Rh  0.000  0.500  0.148
Rh  0.000  0.500  0.500

The value obtained for the calculated total energy is -36.80 eV per formula unit. For the polymorph energy (0 for the lowest one), the calculation gives 355 meV per atom. As for the formation energy: -0.481 eV/atom.

Here is a relaxed structure of Er2InRh from Alexandria. Energies are from PBE.

Unit cell a=7.143 b=7.143 c=7.143 alpha=90.00 beta=90.00 gamma=90.00
Space group Fm-3m (No. 225)
Unique sites:
Er  0.250  0.250  0.250
In  0.000  0.000  0.000
Rh  0.000  0.000  0.500

The value obtained for the calculated total energy is -21.57 eV per formula unit. For the polymorph energy (0 for the lowest one), the calculation gives 120 meV per atom. As for the formation energy: -0.588 eV/atom.

Here is a relaxed structure of ErIn2Rh3 from Alexandria. Energies are from PBE.

Unit cell a=4.6428 b=4.6428 c=11.3563 alpha=90.00 beta=90.00 gamma=120.00
Space group P-3m1 (No. 164)
Unique sites:
Er  0.3333  0.6667  0.1686
In  0.0000  0.0000  0.0000
In  0.0000  0.0000  0.5000
In  0.3333  0.6667  0.6668
Rh  0.0000  0.0000  0.2572
Rh  0.3333  0.6667  0.4217
Rh  0.3333  0.6667  0.9162

The value obtained for the calculated total energy is -36.11 eV per formula unit. As for the formation energy: -0.670 eV/atom.

Here is a relaxed structure of Er4InRh from Alexandria. Energies are from PBE.

Unit cell a=13.531 b=13.531 c=13.531 alpha=90.00 beta=90.00 gamma=90.00
Space group F-43m (No. 216)
Unique sites:
Er  0.000  0.000  0.188
Er  0.060  0.250  0.750
Er  0.100  0.100  0.400
In  0.167  0.167  0.167
Rh  0.108  0.108  0.608

The value obtained for the calculated total energy is -31.79 eV per formula unit. For the polymorph energy (0 for the lowest one), the calculation gives 0 meV per atom. As for the formation energy: -0.575 eV/atom.